# 1
ZnAsP: relaxed, GGA-PBE.

```
data_ZnAsP
_cell_length_a 2.9021
_cell_length_b 2.9021
_cell_length_c 7.6251
_cell_angle_alpha 90.00
_cell_angle_beta 90.00
_cell_angle_gamma 120.00
_symmetry_space_group_name_H-M 'P 1'
_symmetry_Int_Tables_number 1
_symmetry_space_group_name_Hall 'P 1'
loop_
_atom_site_label
_atom_site_fract_x
_atom_site_fract_y
_atom_site_fract_z
Zn1 0.3333 0.6667 0.6581
As1 0.0000 0.0000 0.9441
P1 0.6667 0.3333 0.3978
```

Crystal system = trigonal
Formation energy = 0.401 eV/atom
DOS(E_F) = 2.1 states/eV/f.u.
SG = No. 156
Relative energy among the computed polymorphs = 0.066 eV/atom

---

# 2
Zn3AsP: relaxed, GGA-PBE.

```
data_Zn3AsP
_cell_length_a 4.6336
_cell_length_b 4.6336
_cell_length_c 4.6336
_cell_angle_alpha 90.00
_cell_angle_beta 90.00
_cell_angle_gamma 90.00
_symmetry_space_group_name_H-M 'P 1'
_symmetry_Int_Tables_number 1
_symmetry_space_group_name_Hall 'P 1'
loop_
_atom_site_label
_atom_site_fract_x
_atom_site_fract_y
_atom_site_fract_z
P1 0.0000 0.0000 0.0000
As1 0.5000 0.5000 0.5000
Zn1 0.0000 0.5000 0.0000
Zn2 0.0000 0.0000 0.5000
Zn3 0.5000 0.0000 0.0000
```

Crystal system = cubic
Formation energy = 0.370 eV/atom
DOS(E_F) = 4.3 states/eV/f.u.
SG = No. 221
Relative energy among the computed polymorphs = 0.454 eV/atom

---

# 3
ZnAs2P: relaxed, GGA-PBE.

```
data_ZnAs2P
_cell_length_a 5.4752
_cell_length_b 5.4752
_cell_length_c 2.7703
_cell_angle_alpha 79.27
_cell_angle_beta 79.27
_cell_angle_gamma 116.31
_symmetry_space_group_name_H-M 'P 1'
_symmetry_Int_Tables_number 1
_symmetry_space_group_name_Hall 'P 1'
loop_
_atom_site_label
_atom_site_fract_x
_atom_site_fract_y
_atom_site_fract_z
Zn1 0.0000 0.0000 0.5000
As1 0.5000 0.0000 0.0000
As2 0.0000 0.5000 0.0000
P1 0.5000 0.5000 0.5000
```

Crystal system = monoclinic
Formation energy = 0.432 eV/atom
DOS(E_F) = 1.3 states/eV/f.u.
SG = No. 12
Relative energy among the computed polymorphs = 0.368 eV/atom

---

# 4
ZnAs2P2: relaxed, GGA-PBE.

```
data_ZnAs2P2
_cell_length_a 6.6505
_cell_length_b 5.9279
_cell_length_c 9.1457
_cell_angle_alpha 127.12
_cell_angle_beta 39.95
_cell_angle_gamma 152.62
_symmetry_space_group_name_H-M 'P 1'
_symmetry_Int_Tables_number 1
_symmetry_space_group_name_Hall 'P 1'
loop_
_atom_site_label
_atom_site_fract_x
_atom_site_fract_y
_atom_site_fract_z
Zn1 0.0000 0.0000 0.0000
As1 0.8162 0.9319 0.7865
As2 0.1838 0.0681 0.2135
P1 0.6628 0.0984 0.5592
P2 0.3372 0.9016 0.4408
```

Crystal system = triclinic
Formation energy = 0.099 eV/atom
DOS(E_F) = 1.0 states/eV/f.u.
SG = No. 2
Relative energy among the computed polymorphs = 0.000 eV/atom

---

# 5
ZnAs2P: relaxed, GGA-PBE.

```
data_ZnAs2P
_cell_length_a 3.5817
_cell_length_b 3.5817
_cell_length_c 6.0556
_cell_angle_alpha 90.00
_cell_angle_beta 90.00
_cell_angle_gamma 90.00
_symmetry_space_group_name_H-M 'P 1'
_symmetry_Int_Tables_number 1
_symmetry_space_group_name_Hall 'P 1'
loop_
_atom_site_label
_atom_site_fract_x
_atom_site_fract_y
_atom_site_fract_z
Zn1 0.5000 0.5000 0.9241
As1 0.0000 0.0000 0.8096
As2 0.5000 0.5000 0.3400
P1 0.0000 0.0000 0.4262
```

Crystal system = tetragonal
Formation energy = 0.064 eV/atom
DOS(E_F) = 1.2 states/eV/f.u.
SG = No. 99
Relative energy among the computed polymorphs = 0.000 eV/atom

---

# 6
ZnAs2P: relaxed, GGA-PBE.

```
data_ZnAs2P
_cell_length_a 3.0006
_cell_length_b 3.0006
_cell_length_c 8.7516
_cell_angle_alpha 90.00
_cell_angle_beta 90.00
_cell_angle_gamma 111.84
_symmetry_space_group_name_H-M 'P 1'
_symmetry_Int_Tables_number 1
_symmetry_space_group_name_Hall 'P 1'
loop_
_atom_site_label
_atom_site_fract_x
_atom_site_fract_y
_atom_site_fract_z
Zn1 0.5000 0.5000 0.2650
As1 0.0000 0.0000 0.0375
As2 0.5000 0.5000 0.7029
P1 0.0000 0.0000 0.4946
```

Crystal system = orthorhombic
Formation energy = 0.405 eV/atom
DOS(E_F) = 1.4 states/eV/f.u.
SG = No. 35
Relative energy among the computed polymorphs = 0.341 eV/atom